1.
Compound: MgBe2Re
Source: Alexandria
Functional: GGA-PBE
Structure: relaxed

- VASP energy: -39.73 eV for the cell shown
- Energy relative to the elements: 407 meV per atom
- Spin magnetization: 0.00 μB per atom

Lattice parameters (Å, degrees): 2.8149 4.4430 8.3221 90.00 90.00 90.00
With the nearest neighbours (Å) after each atom.
Space group Immm (No. 71)
One atom of each set of equivalent atoms:
Mg (0.0000, 0.0000, 0.0000) (multiplicity 2)  4 Be 2.60, 4 Re 2.63, 2 Mg 2.81
Be (0.0000, 0.5000, 0.2367) (multiplicity 4)  2 Re 2.42, 2 Mg 2.60, 4 Be 2.64
Re (0.0000, 0.0000, 0.5000) (multiplicity 2)  4 Be 2.42, 4 Mg 2.63

2.
Compound: MgBeRe
Source: Alexandria
Functional: GGA-PBE
Structure: relaxed

- ΔE to the lowest computed polymorph: 0.489 eV per atom
- VASP energy: -61.94 eV for the cell shown
- Energy relative to the elements: 761 meV per atom
- Spin magnetization: 0.34 μB per atom

Lattice parameters (Å, degrees): 5.6212 5.6212 5.6212 90.00 90.00 90.00
With the nearest neighbours (Å) after each atom.
Space group F-43m (No. 216)
One atom of each set of equivalent atoms:
Mg (0.0000, 0.0000, 0.0000) (multiplicity 4)  4 Be 2.43
Be (0.2500, 0.2500, 0.7500) (multiplicity 4)  4 Re 2.43, 4 Mg 2.43
Re (0.0000, 0.0000, 0.5000) (multiplicity 4)  4 Be 2.43

3.
Compound: Mg2BeRe
Source: Alexandria
Functional: GGA-PBE
Structure: relaxed

- VASP energy: -65.03 eV for the cell shown
- Energy relative to the elements: 777 meV per atom
- Spin magnetization: 0.21 μB per atom

Lattice parameters (Å, degrees): 7.0530 7.0530 4.9829 90.00 90.00 90.00
With the nearest neighbours (Å) after each atom.
Space group I-42d (No. 122)
One atom of each set of equivalent atoms:
Mg (0.2076, 0.2500, 0.1250) (multiplicity 8)  2 Be 2.38, 2 Mg 2.56
Be (0.0000, 0.0000, 0.0000) (multiplicity 4)  4 Mg 2.38, 2 Re 2.49
Re (0.0000, 0.0000, 0.5000) (multiplicity 4)  2 Be 2.49, 4 Mg 2.78

4.
Compound: MgBe2Re
Source: Alexandria
Functional: GGA-PBE
Structure: relaxed

- VASP energy: -41.57 eV for the cell shown
- Energy relative to the elements: 178 meV per atom
- Spin magnetization: 0.00 μB per atom

Lattice parameters (Å, degrees): 2.7177 4.1717 8.5826 90.00 90.00 90.00
With the nearest neighbours (Å) after each atom.
Space group Imm2 (No. 44)
One atom of each set of equivalent atoms:
Mg (0.0000, 0.0000, 0.0000) (multiplicity 2)  6 Be 2.50-2.62, 2 Mg 2.72, 2 Re 2.77
Be (0.0000, 0.0000, 0.5308) (multiplicity 2)  2 Be 2.25, 4 Mg 2.50
Be (0.0000, 0.5000, 0.2395) (multiplicity 2)  2 Be 2.25, 4 Re 2.51
Re (0.0000, 0.5000, 0.7809) (multiplicity 2)  6 Be 2.51-2.54, 2 Re 2.72, 4 Mg 2.77-2.81

5.
Compound: MgBe2Re
Source: Alexandria
Functional: GGA-PBE
Structure: relaxed

- VASP energy: -21.01 eV for the cell shown
- Energy relative to the elements: 122 meV per atom
- Spin magnetization: 0.00 μB per atom

Lattice parameters (Å, degrees): 2.8960 3.1442 5.6786 90.00 90.00 90.00
With the nearest neighbours (Å) after each atom.
Space group Pmmm (No. 47)
One atom of each set of equivalent atoms:
Mg (0.0000, 0.0000, 0.0000) (multiplicity 1)  8 Be 2.76, 2 Re 2.84, 2 Mg 2.90
Be (0.5000, 0.5000, 0.3076) (multiplicity 2)  1 Be 2.19, 4 Re 2.40
Re (0.0000, 0.0000, 0.5000) (multiplicity 1)  8 Be 2.40

6.
Compound: MgBeRe
Source: Alexandria
Functional: GGA-PBE
Structure: relaxed

- ΔE to the lowest computed polymorph: 0.035 eV per atom
- VASP energy: -67.38 eV for the cell shown
- Energy relative to the elements: 308 meV per atom
- Spin magnetization: 0.00 μB per atom

Lattice parameters (Å, degrees): 3.1126 4.3518 12.6076 90.00 90.00 90.00
With the nearest neighbours (Å) after each atom.
Space group Fmm2 (No. 42)
One atom of each set of equivalent atoms:
Mg (0.0000, 0.0000, 0.0000) (multiplicity 4)  2 Be 2.66, 4 Mg 2.68, 2 Re 2.81
Be (0.0000, 0.0000, 0.3291) (multiplicity 4)  2 Re 2.39, 2 Mg 2.66
Re (0.0000, 0.0000, 0.6857) (multiplicity 4)  2 Be 2.39

7.
Compound: MgBe2Re
Source: Alexandria
Functional: GGA-PBE
Structure: relaxed

- VASP energy: -40.57 eV for the cell shown
- Energy relative to the elements: 303 meV per atom
- Spin magnetization: 0.00 μB per atom

Lattice parameters (Å, degrees): 3.2251 4.2199 7.8418 90.00 90.00 90.00
With the nearest neighbours (Å) after each atom.
Space group Cmmm (No. 65)
One atom of each set of equivalent atoms:
Mg (0.0000, 0.0000, 0.0000) (multiplicity 2)  4 Mg 2.66, 4 Be 2.70
Be (0.0000, 0.5000, 0.2764) (multiplicity 4)  2 Re 2.38, 4 Be 2.66
Re (0.0000, 0.0000, 0.5000) (multiplicity 2)  4 Be 2.38, 4 Re 2.66

8.
Compound: Mg2BeRe
Source: Alexandria
Functional: GGA-PBE
Structure: relaxed

- VASP energy: -17.71 eV for the cell shown
- Energy relative to the elements: 414 meV per atom
- Spin magnetization: 0.00 μB per atom

Lattice parameters (Å, degrees): 2.7228 4.4331 5.1272 90.00 102.63 90.00
With the nearest neighbours (Å) after each atom.
Space group P2/m (No. 10)
One atom of each set of equivalent atoms:
Mg (0.1872, 0.0000, 0.2510) (multiplicity 2)  4 Mg 2.55-2.74, 2 Be 2.66, 2 Re 2.79
Be (0.0000, 0.5000, 0.5000) (multiplicity 1)  2 Re 2.63, 4 Mg 2.66, 2 Be 2.72
Re (0.5000, 0.5000, 0.0000) (multiplicity 1)  2 Be 2.63, 2 Re 2.72, 4 Mg 2.79

9.
Compound: MgBe2Re
Source: Alexandria
Functional: GGA-PBE
Structure: relaxed

- VASP energy: -19.98 eV for the cell shown
- Energy relative to the elements: 379 meV per atom
- Spin magnetization: 0.00 μB per atom

Lattice parameters (Å, degrees): 2.6253 3.9691 4.9688 90.00 90.00 90.00
With the nearest neighbours (Å) after each atom.
Space group Pmm2 (No. 25)
One atom of each set of equivalent atoms:
Mg (0.0000, 0.0000, 0.0000) (multiplicity 1)  6 Be 2.40-2.62, 2 Mg 2.63
Be (0.0000, 0.0000, 0.4836) (multiplicity 1)  2 Mg 2.40-2.57, 4 Re 2.55, 2 Be 2.63
Be (0.5000, 0.5000, 0.7795) (multiplicity 1)  2 Re 2.39-2.58, 4 Mg 2.62, 2 Be 2.63
Re (0.5000, 0.5000, 0.2980) (multiplicity 1)  6 Be 2.39-2.58, 2 Re 2.63

10.
Compound: MgBe2Re
Source: Alexandria
Functional: GGA-PBE
Structure: relaxed

- VASP energy: -41.78 eV for the cell shown
- Energy relative to the elements: 151 meV per atom
- Spin magnetization: 0.00 μB per atom

Lattice parameters (Å, degrees): 5.8540 5.8842 2.8023 90.00 90.00 90.00
With the nearest neighbours (Å) after each atom.
Space group Cmmm (No. 65)
One atom of each set of equivalent atoms:
Mg (0.0000, 0.0000, 0.0000) (multiplicity 2)  8 Be 2.50, 2 Mg 2.80
Be (0.2500, 0.2500, 0.5000) (multiplicity 4)  4 Re 2.50, 4 Mg 2.50, 2 Be 2.80
Re (0.0000, 0.5000, 0.0000) (multiplicity 2)  8 Be 2.50, 2 Re 2.80

11.
Compound: MgBeRe
Source: Alexandria
Functional: GGA-PBE
Structure: relaxed

- ΔE to the lowest computed polymorph: 0.113 eV per atom
- VASP energy: -16.61 eV for the cell shown
- Energy relative to the elements: 385 meV per atom
- Spin magnetization: 0.00 μB per atom

Lattice parameters (Å, degrees): 4.2665 4.2665 2.6357 90.00 90.00 120.00
With the nearest neighbours (Å) after each atom.
Space group P3m1 (No. 156)
One atom of each set of equivalent atoms:
Mg (0.0000, 0.0000, 0.0000) (multiplicity 1)  3 Be 2.57, 2 Mg 2.64, 6 Re 2.74-2.85
Be (0.3333, 0.6667, 0.7194) (multiplicity 1)  3 Re 2.56, 3 Mg 2.57, 2 Be 2.64
Re (0.6667, 0.3333, 0.4580) (multiplicity 1)  3 Be 2.56, 2 Re 2.64, 6 Mg 2.74-2.85

12.
Compound: MgBe3Re
Source: Alexandria
Functional: GGA-PBE
Structure: relaxed

- ΔE to the lowest computed polymorph: 1.013 eV per atom
- VASP energy: -16.23 eV for the cell shown
- Energy relative to the elements: 1799 meV per atom
- Spin magnetization: 0.31 μB per atom

Lattice parameters (Å, degrees): 4.0505 4.0505 4.0505 90.00 90.00 90.00
With the nearest neighbours (Å) after each atom.
Space group Pm-3m (No. 221)
One atom of each set of equivalent atoms:
Mg (0.0000, 0.0000, 0.0000) (multiplicity 1)  6 Be 2.03
Be (0.0000, 0.0000, 0.5000) (multiplicity 3)  2 Mg 2.03
Re (0.5000, 0.5000, 0.5000) (multiplicity 1)  12 Be 2.86